A geometry-optimized MnTl2HgF6 structure, computed with PBE with a Hubbard U.

## Properties
raw total energy	-4.336	eV/atom
SG	No. 59

a b c (Å): 6.2268 8.9056 6.3868
angles (deg): 90.00 90.00 90.00
Fractional coordinates of all 20 atoms:
Mn1 0.2500 0.2500 0.2429
Mn2 0.7500 0.7500 0.7571
Tl1 0.2500 0.5109 0.7726
Tl2 0.2500 0.9891 0.7726
Tl3 0.7500 0.0109 0.2274
Tl4 0.7500 0.4891 0.2274
Hg1 0.2500 0.7500 0.2647
Hg2 0.7500 0.2500 0.7353
F1 0.0045 0.2500 0.4705
F2 0.0046 0.2500 0.0087
F3 0.2500 0.0117 0.2218
F4 0.2500 0.4883 0.2218
F5 0.4954 0.2500 0.0087
F6 0.4955 0.2500 0.4705
F7 0.5045 0.7500 0.5295
F8 0.5046 0.7500 0.9913
F9 0.7500 0.5117 0.7782
F10 0.7500 0.9883 0.7782
F11 0.9954 0.7500 0.9913
F12 0.9955 0.7500 0.5295